NpSn3Ru4: relaxed, PBE.

POSCAR file:
```
NpSn3Ru4
1.0
2.312 1.335 7.577
-2.312 1.335 7.577
0.000 -2.670 7.577
Np Sn Ru
1 3 4
Direct
0.000 0.000 0.000
0.251 0.251 0.251
0.500 0.500 0.500
0.749 0.749 0.749
0.128 0.128 0.128
0.378 0.378 0.378
0.622 0.622 0.622
0.872 0.872 0.872
```

Output
Formation energy (eV per atom): -0.12
Electronic total energy (eV/cell): -63.04
Spin magnetization (μB/f.u.): 3.080
Symmetry: R-3m, No. 166
N(E_F) (states/eV per atom): 0.70